Entry 1:
Below is crystalline Mg5Mn3 at its relaxed geometry, with properties calculated at the PBE level.

a b c (Å): 4.805 5.912 10.515
angles (deg): 90.60 90.00 90.00
Last column: magnetic moment on the atom in μB.
Atoms (fractional coordinates):
Mg (0.834, 0.276, 0.721)  -0.03
Mg (0.333, 0.473, 0.113)  -0.03
Mg (0.833, 0.248, 0.219)  -0.03
Mg (0.833, 0.007, 0.466)  -0.03
Mn (0.834, 0.504, 0.464)  3.64
Mn (0.834, 0.503, 0.957)  3.57
Mg (0.834, 0.012, 0.959)  -0.04
Mn (0.334, 0.000, 0.120)  3.56
Mg (0.834, 0.750, 0.202)  -0.02
Mn (0.334, 0.248, 0.876)  3.57
Mg (0.334, 0.503, 0.616)  -0.03
Mg (0.334, 0.740, 0.876)  -0.04
Mn (0.834, 0.751, 0.714)  3.56
Mn (0.333, 0.244, 0.370)  3.64
Mg (0.334, 0.001, 0.631)  -0.02
Mg (0.334, 0.741, 0.368)  -0.03

Properties
symmetry = No. 6
total DFT energy (no corrections) = -4.178 eV per atom
energy above the lowest structure with this stoichiometry = 10 meV per atom
total magnetization = 21.82 μB/cell

***

Entry 2:
Below is crystalline VAu2Cl6 at its relaxed geometry, with properties calculated at the PBE level.

a b c (Å): 14.346 6.985 6.985
angles (deg): 120.20 76.57 76.57
Last column: magnetic moment on the atom in μB.
Atoms (fractional coordinates):
Au (0.137, 0.666, 0.598)  -0.04
Au (0.363, 0.402, 0.334)  -0.04
Cl (0.662, 0.951, 0.883)  -0.02
V (0.750, 0.878, 0.122)  1.08
Au (0.637, 0.598, 0.666)  -0.04
Cl (0.844, 0.833, 0.314)  -0.03
Au (0.863, 0.334, 0.402)  -0.04
Cl (0.395, 0.748, 0.527)  -0.02
Cl (0.162, 0.883, 0.951)  -0.02
Cl (0.105, 0.473, 0.252)  -0.02
Cl (0.895, 0.527, 0.748)  -0.02
V (0.250, 0.122, 0.878)  1.08
Cl (0.838, 0.117, 0.049)  -0.02
Cl (0.656, 0.686, 0.167)  -0.03
Cl (0.338, 0.049, 0.117)  -0.02
Cl (0.156, 0.167, 0.686)  -0.03
Cl (0.605, 0.252, 0.473)  -0.02
Cl (0.344, 0.314, 0.833)  -0.03

Properties
energy relative to the elements, uncorrected = -0.6550 eV/atom
symmetry = No. 15
total DFT energy (no corrections) = -3.628 eV per atom
total magnetization = 1.88 μB/cell

***

Entry 3:
Below is crystalline Sm4Si2I3 at its relaxed geometry, with properties calculated at the PBE level.

a b c (Å): 4.292 4.292 19.003
angles (deg): 90.03 89.97 120.00
Atoms (fractional coordinates):
Si (0.333, 0.667, 0.198)
I (0.000, 0.000, 0.000)
Si (0.667, 0.333, 0.802)
I (0.334, 0.666, 0.609)
Sm (0.000, 0.000, 0.284)
Sm (0.666, 0.334, 0.121)
Sm (0.334, 0.666, 0.879)
Sm (0.000, 0.000, 0.716)
I (0.666, 0.334, 0.391)

Properties
energy relative to the elements, uncorrected = -1.0578 eV/atom
symmetry = No. 12
total DFT energy (no corrections) = -4.877 eV per atom
energy above the lowest structure with this stoichiometry = 0 meV per atom
total magnetization = 0.00 μB/cell

***

What is the formula in the second record? VAu2Cl6

***

Copy entry 1 word for word.
Below is crystalline Mg5Mn3 at its relaxed geometry, with properties calculated at the PBE level.

a b c (Å): 4.805 5.912 10.515
angles (deg): 90.60 90.00 90.00
Last column: magnetic moment on the atom in μB.
Atoms (fractional coordinates):
Mg (0.834, 0.276, 0.721)  -0.03
Mg (0.333, 0.473, 0.113)  -0.03
Mg (0.833, 0.248, 0.219)  -0.03
Mg (0.833, 0.007, 0.466)  -0.03
Mn (0.834, 0.504, 0.464)  3.64
Mn (0.834, 0.503, 0.957)  3.57
Mg (0.834, 0.012, 0.959)  -0.04
Mn (0.334, 0.000, 0.120)  3.56
Mg (0.834, 0.750, 0.202)  -0.02
Mn (0.334, 0.248, 0.876)  3.57
Mg (0.334, 0.503, 0.616)  -0.03
Mg (0.334, 0.740, 0.876)  -0.04
Mn (0.834, 0.751, 0.714)  3.56
Mn (0.333, 0.244, 0.370)  3.64
Mg (0.334, 0.001, 0.631)  -0.02
Mg (0.334, 0.741, 0.368)  -0.03

Properties
symmetry = No. 6
total DFT energy (no corrections) = -4.178 eV per atom
energy above the lowest structure with this stoichiometry = 10 meV per atom
total magnetization = 21.82 μB/cell